Material: BeNbVCuPF
Method: DFT, PBE+U
State: optimized geometry

## Properties
M_tot	2.77	μB/f.u.
energy above the most stable polymorph in this dataset	100	meV/atom

```
6
Lattice="2.708 0.000 0.000 0.588 5.141 0.000 0.099 0.106 6.162" Properties=species:S:1:pos:R:3 pbc="T T T"
Be 0.000 0.000 0.000
Nb 2.460 4.193 3.897
V 1.352 2.345 1.967
Cu 0.318 1.434 4.238
P 2.932 3.002 5.974
F 1.344 0.327 0.905
```